Nd3Tm2Cd2 (GGA-PBE, optimized geometry); magnetic moment = 0.0 μB/f.u.; ΔE_f = -14 kJ/mol of atoms; ΔE to the lowest computed polymorph = 0 meV per atom
1.0
4.726 -2.732 0.000
4.726 2.732 0.000
-3.158 0.000 8.051
Nd Tm Cd
3 2 2
Direct
0.000 0.000 0.000 Nd
0.159 0.159 0.476 Nd
0.841 0.841 0.524 Nd
0.427 0.427 0.281 Tm
0.573 0.573 0.719 Tm
0.290 0.290 0.870 Cd
0.710 0.710 0.130 Cd